(1)
An optimized crystal structure of Pr6Ge3S2Br, computed with PBE-GGA.

Summary:
uncorrected formation energy = -1.348 eV/atom
density = 6.0 g/cm³
calculated total energy = -5.72 eV per atom

Cell lengths 4.292, 8.556, 9.545 Å; angles 102.26, 102.99, 90.00 degrees
Fractional coordinates of all 12 atoms:
Pr 0.326 0.913 0.653
Pr 0.667 0.584 0.334
Pr 0.674 0.087 0.347
Pr 0.001 0.268 0.003
Pr 0.999 0.732 0.997
Pr 0.333 0.416 0.666
Ge 0.500 0.500 0.000
Ge 0.836 0.167 0.673
Ge 0.164 0.833 0.327
S 0.832 0.666 0.665
S 0.168 0.334 0.335
Br 0.500 0.000 0.000



(2)
An optimized crystal structure of CuIr2W, computed with PBE-GGA.

Summary:
DFT formation energy = 0.30 eV/atom
density = 17.7 g/cm³
calculated total energy = -8.39 eV per atom

Cell lengths 2.697, 2.697, 9.161 Å; angles 90.00, 90.00, 117.24 degrees
Fractional coordinates of all 4 atoms:
Cu 0.500 0.500 0.751
Ir 0.000 0.000 0.993
Ir 0.500 0.500 0.254
W 0.000 0.000 0.502



(3)
An optimized crystal structure of La4ThSe5, computed with PBE-GGA.

Summary:
uncorrected formation energy = -1.904 eV/atom
density = 7.0 g/cm³
calculated total energy = -6.36 eV per atom

Cell lengths 6.064, 7.430, 7.430 Å; angles 80.41, 65.91, 65.91 degrees
Fractional coordinates of all 10 atoms:
La 0.404 0.397 0.798
La 0.801 0.798 0.603
La 0.201 0.202 0.397
La 0.599 0.603 0.202
Th 0.001 0.000 0.000
Se 0.902 0.395 0.803
Se 0.297 0.803 0.605
Se 0.705 0.197 0.395
Se 0.100 0.605 0.197
Se 0.501 0.000 0.000



(4)
An optimized crystal structure of PmHo3Tl4Te8, computed with PBE-GGA.

Summary:
uncorrected formation energy = -1.052 eV/atom
density = 7.3 g/cm³
calculated total energy = -4.37 eV per atom

Cell lengths 8.924, 9.676, 8.925 Å; angles 117.46, 120.00, 90.00 degrees
Fractional coordinates of all 16 atoms:
Pm 0.000 0.500 0.000
Ho 0.500 0.500 0.000
Ho 0.500 0.500 0.500
Ho 0.000 0.500 0.500
Tl 0.500 0.000 0.000
Tl 0.500 0.000 0.500
Tl 0.000 0.000 0.000
Tl 0.000 0.000 0.500
Te 0.241 0.715 0.973
Te 0.241 0.715 0.483
Te 0.263 0.289 0.526
Te 0.732 0.715 0.973
Te 0.268 0.285 0.027
Te 0.737 0.711 0.474
Te 0.759 0.285 0.517
Te 0.759 0.285 0.027



(5)
An optimized crystal structure of Ti6PC4, computed with PBE-GGA.

Summary:
DFT formation energy = -0.93 eV/atom
density = 4.7 g/cm³
calculated total energy = -9.08 eV per atom

Cell lengths 3.149, 5.348, 15.989 Å; angles 90.00, 90.00, 107.12 degrees
Fractional coordinates of all 22 atoms:
Ti 0.500 0.000 0.000
Ti 0.500 0.000 0.500
Ti 0.037 0.075 0.347
Ti 0.963 0.925 0.653
Ti 0.963 0.925 0.847
Ti 0.037 0.075 0.153
Ti 0.774 0.547 0.422
Ti 0.226 0.453 0.578
Ti 0.226 0.453 0.922
Ti 0.774 0.547 0.078
Ti 0.343 0.686 0.250
Ti 0.657 0.314 0.750
P 0.661 0.322 0.250
P 0.339 0.678 0.750
C 0.862 0.724 0.541
C 0.408 0.816 0.124
C 0.138 0.276 0.459
C 0.592 0.184 0.876
C 0.862 0.724 0.959
C 0.138 0.276 0.041
C 0.592 0.184 0.624
C 0.408 0.816 0.376



(6)
An optimized crystal structure of NiIr2Se, computed with PBE-GGA.

Summary:
uncorrected formation energy = 0.297 eV/atom
density = 15.1 g/cm³
calculated total energy = -6.45 eV per atom

Cell lengths 2.845, 2.845, 7.114 Å; angles 90.00, 90.00, 90.00 degrees
Fractional coordinates of all 4 atoms:
Ir 0.000 0.000 0.004
Ir 0.500 0.500 0.259
Ni 0.000 0.000 0.504
Se 0.500 0.500 0.733